The following is a PBE-GGA calculation of a relaxed CdSi2Sb crystal, from the Alexandria database.

It has space group Fm-3m (No. 225), with a = 6.9314 Å, b = 6.9314 Å, c = 6.9314 Å, α = 90.00°, β = 90.00° and γ = 90.00°. Symmetry generates all atoms from Cd at (0.0000, 0.0000, 0.0000), Si at (0.2500, 0.2500, 0.2500) and Sb at (0.0000, 0.0000, 0.5000).

The uncorrected formation energy is 568.1 meV/atom. The value obtained for the density of states at the Fermi level is 7.68 states/eV per cell. As for the energy above the most stable polymorph in this dataset: 322 meV per atom. The calculation puts the volume at 333 Å³/cell.